Entry 1:
Computed, not measured: an optimized crystal structure of Ba2NaLi2 at the PBE level of DFT.

Lattice parameters (Å, degrees): 10.3563 10.3563 4.1753 90.00 90.00 90.00
With the nearest neighbours (Å) after each atom.
Fractional positions:
Ba 0.1471 0.3529 0.0000  6 Li 3.68-3.69, 2 Na 3.96
Ba 0.3529 0.8529 0.0000  6 Li 3.68-3.69, 2 Na 3.96
Ba 0.6471 0.1471 0.0000  6 Li 3.68-3.69, 2 Na 3.96
Ba 0.8529 0.6471 0.0000  6 Li 3.68-3.69, 2 Na 3.96
Na 0.0000 0.0000 0.0000  4 Ba 3.96, 2 Na 4.18
Na 0.5000 0.5000 0.0000  4 Ba 3.96, 2 Na 4.18
Li 0.1453 0.6453 0.5000  6 Ba 3.68-3.69
Li 0.3547 0.1453 0.5000  6 Ba 3.68-3.69
Li 0.6453 0.8547 0.5000  6 Ba 3.68-3.69
Li 0.8547 0.3547 0.5000  6 Ba 3.68-3.69

Output
The formation enthalpy at 0 K comes out at 0.157 eV per atom. Its space group is P4/mbm. As for the excess energy over the best structure of this formula in the dataset: 122.6 meV/atom. The magnetization is 0.000 μB/f.u.

---

Entry 2:
Computed, not measured: an optimized crystal structure of TiBe2HW at the PBE level of DFT.

Lattice parameters (Å, degrees): 3.7833 3.7833 3.6135 90.00 90.00 90.00
With the nearest neighbours (Å) after each atom.
Fractional positions:
Ti 0.0000 0.0000 0.0000  2 H 1.81
Be 0.0000 0.5000 0.5000  2 H 1.89
Be 0.5000 0.0000 0.5000  2 H 1.89
H 0.0000 0.0000 0.5000  2 Ti 1.81, 4 Be 1.89
W 0.5000 0.5000 0.0000  8 Be 2.62, 4 Ti 2.68

Output
Its space group is P4/mmm. The magnetization is 0.000 μB/f.u.

---

Entry 3:
Computed, not measured: an optimized crystal structure of ZrBe2Nb2 at the PBE level of DFT.

Lattice parameters (Å, degrees): 6.7112 6.7112 3.3861 90.00 90.00 90.00
With the nearest neighbours (Å) after each atom.
Fractional positions:
Zr 0.0000 0.0000 0.0000  4 Be 2.71, 8 Nb 3.00
Zr 0.5000 0.5000 0.0000  4 Be 2.71, 8 Nb 3.00
Be 0.1113 0.3887 0.0000  1 Be 2.11
Be 0.3887 0.8887 0.0000  1 Be 2.11
Be 0.6113 0.1113 0.0000  1 Be 2.11
Be 0.8887 0.6113 0.0000  1 Be 2.11
Nb 0.1763 0.6763 0.5000  6 Be 2.60-2.63
Nb 0.3237 0.1763 0.5000  6 Be 2.60-2.63
Nb 0.6763 0.8237 0.5000  6 Be 2.60-2.63
Nb 0.8237 0.3237 0.5000  6 Be 2.60-2.63

Output
The formation enthalpy at 0 K comes out at -0.057 eV per atom. Its space group is P4/mbm. The magnetization is 0.000 μB/f.u.

---

Entry 4:
Computed, not measured: an optimized crystal structure of RbSbPb3 at the PBE level of DFT.

Lattice parameters (Å, degrees): 5.3093 5.3093 7.7854 109.80 109.80 90.10
With the nearest neighbours (Å) after each atom.
Fractional positions:
Rb 0.0000 0.0000 0.0000  4 Sb 4.00-4.01, 12 Pb 4.11-4.47
Sb 0.3963 0.3963 0.7934  5 Pb 3.12-3.22
Pb 0.2634 0.7627 0.5261  2 Sb 3.22, 2 Pb 3.26
Pb 0.6254 0.6254 0.2493  1 Sb 3.12, 4 Pb 3.26
Pb 0.7627 0.2634 0.5261  2 Sb 3.22, 2 Pb 3.26

Output
For the raw formation energy, the calculation gives -0.768 eV per formula unit. Its space group is Cm. As for the excess energy over the best structure of this formula in the dataset: 0.0 meV/atom. The magnetization is 0.000 μB/f.u.

---

| no. | raw total energy (eV per atom) |
| --- | --- |
| 1 | -1.641 |
| 2 | -6.277 |
| 3 | -7.285 |
| 4 | -3.397 |